Entry 1:
DFT (PBE-GGA) results for Sm4TmPu3Se8 after structural relaxation.

Lattice parameters (Å, degrees): 8.258 8.305 8.257 119.81 120.00 90.00
Element x y z (fractional)
Se 0.753 0.743 0.998
Se 0.245 0.743 0.491
Sm 0.000 0.000 0.500
Sm 0.500 0.000 0.000
Se 0.755 0.257 0.509
Se 0.251 0.254 0.502
Tm 0.000 0.500 0.000
Pu 0.500 0.500 0.000
Se 0.247 0.257 0.002
Se 0.245 0.743 0.998
Se 0.749 0.746 0.498
Sm 0.000 0.000 0.000
Sm 0.500 0.000 0.500
Se 0.755 0.257 0.002
Pu 0.500 0.500 0.500
Pu 0.000 0.500 0.500

Summary:
- SG = R-3m
- total energy (eV per cell) = -121.6
- crystal system = trigonal

***

Entry 2:
DFT (PBE-GGA) results for Pm2GaSiNi6 after structural relaxation.

Lattice parameters (Å, degrees): 6.098 6.192 6.165 57.71 64.37 92.24
Element x y z (fractional)
Ni 0.234 0.343 0.508
Ni 0.761 0.252 0.899
Ni 0.239 0.748 0.101
Ni 0.374 0.246 0.868
Pm 0.783 0.216 0.435
Ga 0.500 0.500 0.000
Ni 0.626 0.754 0.132
Ni 0.766 0.657 0.492
Pm 0.217 0.784 0.565
Si 0.000 0.000 0.000

Summary:
- SG = P-1
- total energy (eV per cell) = -56.5
- crystal system = triclinic

***

Entry 3:
DFT (PBE-GGA) results for KAs after structural relaxation.

Lattice parameters (Å, degrees): 5.867 5.867 6.817 90.00 90.00 120.00
Element x y z (fractional)
As 0.667 0.333 0.250
As 0.333 0.667 0.750
K 0.333 0.667 0.250
K 0.667 0.333 0.750

Summary:
- SG = P6_3/mmc
- total energy (eV per cell) = -9.6
- crystal system = hexagonal

***

Entry 4:
DFT (PBE-GGA) results for LiReMo3 after structural relaxation.

Lattice parameters (Å, degrees): 4.191 4.191 4.191 90.00 90.00 90.00
Element x y z (fractional)
Mo 0.000 0.500 0.000
Li 0.000 0.000 0.000
Mo 0.000 0.000 0.500
Mo 0.500 0.000 0.000
Re 0.500 0.500 0.500

Summary:
- SG = Pm-3m
- total energy (eV per cell) = -40.4
- crystal system = cubic

***

Entry 5:
DFT (PBE-GGA) results for YCO2F after structural relaxation.

Lattice parameters (Å, degrees): 4.451 4.451 4.233 90.00 90.00 90.00
Element x y z (fractional)
O 0.500 0.000 0.000
Y 0.000 0.000 0.000
C 0.500 0.500 0.500
O 0.000 0.500 0.000
F 0.000 0.000 0.500

Summary:
- SG = P4/mmm
- total energy (eV per cell) = -29.0
- crystal system = tetragonal

***

Entry 6:
DFT (PBE-GGA) results for Sc3Al5H12 after structural relaxation.

Lattice parameters (Å, degrees): 9.826 9.826 9.826 109.47 109.47 109.47
Element x y z (fractional)
H 0.640 0.058 0.221
H 0.058 0.418 0.838
H 0.640 0.582 0.920
H 0.140 0.420 0.082
H 0.338 0.779 0.420
H 0.942 0.582 0.162
H 0.442 0.779 0.860
Al 0.875 0.625 0.750
H 0.662 0.221 0.580
Al 0.250 0.375 0.625
H 0.080 0.162 0.221
Al 0.000 0.000 0.000
Sc 0.250 0.125 0.375
H 0.279 0.860 0.942
H 0.721 0.140 0.058
H 0.662 0.442 0.582
H 0.860 0.279 0.442
Sc 0.625 0.250 0.375
H 0.779 0.338 0.920
H 0.580 0.860 0.418
Al 0.625 0.875 0.250
H 0.360 0.418 0.080
Al 0.750 0.125 0.875
H 0.140 0.721 0.558
H 0.558 0.338 0.918
H 0.721 0.580 0.162
Sc 0.750 0.375 0.125
Sc 0.250 0.625 0.875
H 0.920 0.838 0.779
H 0.558 0.221 0.140
H 0.420 0.279 0.338
Al 0.000 0.500 0.500
Sc 0.375 0.750 0.625
H 0.580 0.721 0.662
H 0.582 0.942 0.662
Sc 0.125 0.250 0.875
Al 0.750 0.625 0.375
Al 0.875 0.250 0.625
H 0.838 0.918 0.058
H 0.860 0.580 0.918
Al 0.500 0.500 0.500
H 0.582 0.640 0.420
H 0.418 0.058 0.338
H 0.221 0.558 0.640
H 0.279 0.420 0.838
Al 0.375 0.250 0.125
H 0.338 0.558 0.418
Al 0.375 0.125 0.750
Al 0.500 0.000 0.500
H 0.918 0.080 0.860
Al 0.625 0.750 0.875
Sc 0.875 0.750 0.125
H 0.920 0.082 0.640
Al 0.500 0.500 0.000
Al 0.125 0.750 0.375
H 0.420 0.140 0.582
Al 0.125 0.375 0.250
H 0.942 0.360 0.279
Sc 0.750 0.875 0.625
Al 0.000 0.000 0.500
Sc 0.375 0.625 0.250
H 0.918 0.838 0.558
H 0.162 0.080 0.721
H 0.838 0.920 0.279
H 0.058 0.640 0.721
Al 0.000 0.500 0.000
H 0.418 0.360 0.580
H 0.082 0.162 0.442
H 0.082 0.920 0.140
H 0.221 0.662 0.080
Sc 0.125 0.875 0.750
Sc 0.875 0.125 0.250
H 0.442 0.662 0.082
H 0.360 0.942 0.779
Sc 0.625 0.375 0.750
H 0.080 0.918 0.360
H 0.162 0.082 0.942
Al 0.250 0.875 0.125
H 0.779 0.442 0.360
Al 0.500 0.000 0.000

Summary:
- SG = Ia-3d
- total energy (eV per cell) = -308.6
- crystal system = cubic

***

| no. | calculated volume (Å³ per atom) | DOS at the Fermi energy (states/eV per atom) |
| --- | --- | --- |
| 1 | 25.1 | 1.711 |
| 2 | 16.6 | 0.695 |
| 3 | 50.8 | 0.687 |
| 4 | 14.7 | 1.390 |
| 5 | 16.8 | 0.883 |
| 6 | 9.1 | 0.346 |